(1)
Here is a geometry-optimized Er4NiBi structure from Alexandria. Energies are from GGA-PBE.

Geometry as extended XYZ:
```
12
Lattice="-5.200 0.477 -2.959 -0.711 -6.547 0.192 -1.341 0.397 8.574" Properties=species:S:1:pos:R:3 pbc="T T T"
Er -2.816 -4.662 0.159
Er -3.674 -1.200 2.004
Er -1.741 -6.252 6.177
Er -1.388 -2.992 6.081
Er -5.510 0.581 -0.369
Er -3.578 -4.472 3.803
Er -5.864 -2.680 -0.273
Er -4.435 -1.010 5.648
Bi -1.394 -1.511 -0.165
Bi -5.857 -4.161 5.972
Ni -5.078 -4.372 1.666
Ni -2.173 -1.300 4.141
```

Summary:
ΔE_f ... -0.431 eV per atom
Space-group type ... No. 11
Crystal system ... monoclinic
Fermi-level density of states ... 0.9321 states/eV/atom


(2)
Here is a geometry-optimized LiPr5Se8 structure from Alexandria. Energies are from GGA-PBE.

Geometry as extended XYZ:
```
14
Lattice="7.774 -0.002 0.004 -2.633 7.315 -0.004 -2.509 -3.700 6.360" Properties=species:S:1:pos:R:3 pbc="T T T"
Pr 3.857 5.517 1.586
Pr 2.633 -1.851 3.182
Pr 0.058 -2.806 6.324
Pr -1.255 2.277 0.795
Pr 2.605 2.238 4.016
Se -0.998 5.373 0.143
Se -2.356 3.608 3.281
Se 0.516 0.430 2.452
Se 1.576 3.527 1.514
Se 1.683 -0.355 5.604
Se 4.362 0.446 2.321
Se 0.252 3.305 5.522
Se 5.496 -1.882 4.604
Li -1.254 0.882 4.769
```

Summary:
Space-group type ... No. 82
Crystal system ... tetragonal
Uncorrected formation energy ... -1.830 eV/atom


(3)
Here is a geometry-optimized AcNdGe2Pd5 structure from Alexandria. Energies are from GGA-PBE.

Geometry as extended XYZ:
```
9
Lattice="4.394 0.000 0.000 0.000 4.394 0.000 0.000 0.000 9.182" Properties=species:S:1:pos:R:3 pbc="T T T"
Nd 0.000 0.000 0.000
Pd 0.000 2.197 6.734
Pd 2.197 0.000 6.734
Pd 2.197 2.197 4.591
Pd 0.000 2.197 2.448
Pd 2.197 0.000 2.448
Ge 2.197 2.197 1.248
Ge 2.197 2.197 7.934
Ac 0.000 0.000 4.591
```

Summary:
ΔE_f ... -0.786 eV per atom
Space-group type ... No. 123
Crystal system ... tetragonal
Fermi-level density of states ... 0.3594 states/eV/atom


Calculated values (μB per cell) of total moment for the records, taken in order: 0.0, 0.0, 0.0.